This record from the Alexandria database describes a relaxed structure of RbCr3Se4O12. The functional is PBE+U.

```
20
Lattice="5.706 3.294 2.665 -5.706 3.294 2.665 0.000 -6.588 2.665" Properties=species:S:1:pos:R:3 pbc="T T T"
Rb 0.000 0.000 0.000
Cr -3.354 -0.779 2.665
Cr -3.354 0.779 5.330
Cr 1.003 3.294 2.665
Se -2.243 -3.885 3.998
Se 0.000 0.000 3.998
Se -2.243 3.885 3.998
Se 4.486 0.000 3.998
O -3.245 -2.472 3.728
O -4.455 0.000 3.998
O -0.518 -4.046 4.268
O -1.937 0.000 3.998
O -3.245 2.472 4.268
O 2.228 -3.858 3.998
O 0.968 -1.677 3.998
O -0.518 4.046 3.728
O 0.968 1.677 3.998
O 3.763 -1.574 3.728
O 2.228 3.858 3.998
O 3.763 1.574 4.268
```

## Properties
- calculated density (Mg/m³) = 4.1
- SG = R32 (155)
- E (eV for the cell shown) = -115.539
- density of states at the Fermi level (states/eV per cell) = 4.99
- magnetic moment (μB/f.u.) = 7.366